No. 1
Density functional theory data (GGA-PBE) for a relaxed PmY6Er2 crystal.

calculated formation energy = 0.6 eV/f.u.
excess energy over the best structure of this formula in the dataset = 0.44 eV per formula unit
calculated density = 5.8 g/cm³
calculated volume = 32.280 A^3/atom

a b c (Å): 13.4573 11.7117 9.0724
angles (deg): 90.00 125.64 90.00
Space group C2/c (No. 15)
Unique sites:
Pm1 0.0000 0.0803 0.2500
Y1 0.0820 0.3897 0.9853
Y2 0.1517 0.3485 0.4042
Y3 0.2102 0.0935 0.1360
Er1 0.1072 0.1710 0.6943

=====

No. 2
Density functional theory data (GGA-PBE) for a relaxed SmMn12C6 crystal.

calculated formation energy = -1.2 eV/f.u.
calculated density = 7.7 g/cm³
calculated volume = 9.948 A^3/atom

a b c (Å): 9.2960 9.2960 7.5772
angles (deg): 90.00 90.00 120.00
Space group R-3m (No. 166, hexagonal axes)
Unique sites:
Sm1 0.0000 0.0000 0.0000
Mn1 0.0000 0.3665 0.5000
Mn2 0.0908 0.1815 0.3714
C1 0.0396 0.5198 0.2921

=====

No. 3
Density functional theory data (GGA-PBE) for a relaxed PmSmAs2Pd2 crystal.

calculated formation energy = -7.1 eV/f.u.
calculated density = 8.5 g/cm³
calculated volume = 21.311 A^3/atom

a b c (Å): 4.3707 4.3707 7.7288
angles (deg): 90.00 90.00 120.00
Space group P-3m1 (No. 164)
Unique sites:
Pm1 0.0000 0.0000 0.0000
Sm1 0.0000 0.0000 0.5000
As1 0.3333 0.6667 0.7496
Pd1 0.3333 0.6667 0.2525